Density functional theory data (PBEsol) for TlHg3 after structural relaxation.

Computed properties:
final energy = -1.103 eV/atom
formation energy = -0.02 eV/atom

extended XYZ file:
```
4
Lattice="-0.478 2.810 -1.668 -3.929 -3.649 -1.751 -2.504 2.304 4.601" Properties=species:S:1:pos:R:3 pbc="T T T"
Tl 0.000 0.000 0.000
Hg -3.899 0.607 2.141
Hg -3.013 0.858 -0.959
Hg -1.491 2.557 1.467
```

=====

Density functional theory data (PBEsol) for Bi2O3 after structural relaxation.

Computed properties:
uncorrected formation energy = -6.01 eV per formula unit
final energy = -6.065 eV/atom

extended XYZ file:
```
80
Lattice="11.192 0.000 0.000 0.000 11.192 0.000 0.000 0.000 11.192" Properties=species:S:1:pos:R:3 pbc="T T T"
O 1.997 4.419 4.081
O 10.174 7.093 9.861
O 4.081 1.997 4.419
O 1.331 4.578 9.696
O 9.696 1.331 4.578
O 9.195 10.015 1.515
O 4.081 3.599 10.015
O 1.997 1.177 9.677
O 1.018 4.100 1.331
O 9.861 6.614 1.497
O 9.696 4.265 10.174
O 6.927 4.578 7.093
O 7.093 9.861 10.174
O 4.578 9.696 1.331
O 9.677 1.997 1.177
O 4.100 4.265 6.614
O 6.773 9.677 3.599
O 4.419 4.081 1.997
O 10.015 1.515 9.195
O 1.515 9.195 10.015
O 7.111 7.594 1.177
O 7.594 4.419 1.515
O 10.015 4.081 3.599
O 4.100 1.331 1.018
O 4.419 1.515 7.594
O 1.177 9.677 1.997
O 6.773 7.111 9.195
O 9.677 3.599 6.773
O 9.195 6.773 7.111
O 7.111 9.195 6.773
O 4.265 10.174 9.696
O 1.515 7.594 4.419
O 7.594 1.177 7.111
O 10.174 9.696 4.265
O 1.497 6.927 1.018
O 3.599 10.015 4.081
O 4.578 7.093 6.927
O 1.497 9.861 6.614
O 6.614 1.497 9.861
O 1.018 1.497 6.927
O 6.927 1.018 1.497
O 1.331 1.018 4.100
O 6.614 4.100 4.265
O 1.177 7.111 7.594
O 4.265 6.614 4.100
O 9.861 10.174 7.093
O 3.599 6.773 9.677
O 7.093 6.927 4.578
Bi 8.418 2.822 2.774
Bi 5.318 5.645 8.328
Bi 5.318 11.143 2.732
Bi 2.774 8.418 2.822
Bi 5.874 0.049 8.460
Bi 0.049 8.460 5.874
Bi 2.864 10.914 11.143
Bi 8.328 0.278 0.049
Bi 5.874 5.547 2.864
Bi 10.914 5.645 8.460
Bi 2.822 2.774 8.418
Bi 5.547 2.732 0.278
Bi 8.370 8.418 2.774
Bi 11.143 2.864 10.914
Bi 5.645 8.328 5.318
Bi 8.460 10.914 5.645
Bi 8.418 2.774 8.370
Bi 0.278 0.049 8.328
Bi 10.914 11.143 2.864
Bi 2.774 8.370 8.418
Bi 2.822 2.822 2.822
Bi 5.645 8.460 10.914
Bi 0.278 5.547 2.732
Bi 11.143 2.732 5.318
Bi 5.547 2.864 5.874
Bi 8.370 8.370 8.370
Bi 8.460 5.874 0.049
Bi 2.864 5.874 5.547
Bi 0.049 8.328 0.278
Bi 2.732 5.318 11.143
Bi 8.328 5.318 5.645
Bi 2.732 0.278 5.547
```

=====

Density functional theory data (PBEsol) for Sc2MnCl after structural relaxation.

Computed properties:
offset from the most stable computed form = 283.4 meV/atom
uncorrected formation energy = 0.11 eV per formula unit
final energy = -6.218 eV/atom

extended XYZ file:
```
4
Lattice="-2.452 -3.896 -0.290 -0.031 -2.418 -3.927 2.156 -4.071 -0.218" Properties=species:S:1:pos:R:3 pbc="T T T"
Sc -0.082 -2.596 -1.109
Sc -0.245 -7.789 -3.326
Mn -0.163 -5.193 -2.218
Cl 0.000 0.000 0.000
```

=====

The highest final energy belongs to which entry? TlHg3

=====

Which of these has the lowest final energy? Sc2MnCl